DFT (GGA-PBEsol) results for a relaxed Mg2OsRu crystal.

Properties
Magnetization = 0.00 Bohr magnetons per cell
Volume = 15.52 A^3/atom
Distance to the lowest polymorph of the same formula = 185.1 meV/atom
DOS(E_F) = 0.77 states/eV/atom
Space group = No. 44
ΔH_f (0 K) = 226 meV/atom

```
Mg2OsRu
1.0
-0.661 -2.724 0.706
-0.350 -1.060 -4.417
5.081 0.758 1.765
Os Ru Mg
1 1 2
Direct
0.517 0.517 0.034
0.235 0.735 0.469
0.765 0.265 0.531
0.983 0.983 0.966
```